Record 1
Y3TlP: relaxed, GGA-PBE.

Summary:
**Formation energy**: -0.7187 eV per atom
**SG**: No. 221
**Energy relative to the lowest polymorph listed for this composition**: 0.1302 eV per atom

POSCAR file:
```
Y3TlP
1.0
5.2585 0.0000 0.0000
0.0000 5.2585 0.0000
0.0000 0.0000 5.2585
Tl Y P
1 3 1
Cartesian
2.6292 2.6292 2.6292 Tl
0.0000 2.6292 0.0000 Y
2.6292 0.0000 0.0000 Y
0.0000 0.0000 2.6292 Y
0.0000 0.0000 0.0000 P
```



Record 2
ZrI2NCl: relaxed, GGA-PBE.

Summary:
**Energy relative to the elements, uncorrected**: 1.14 eV per atom
**SG**: No. 123
**Energy relative to the lowest polymorph listed for this composition**: 1.2154 eV per atom

POSCAR file:
```
ZrI2NCl
1.0
6.0744 0.0000 0.0000
0.0000 6.0744 0.0000
0.0000 0.0000 3.4853
Cl I Zr N
1 2 1 1
Cartesian
0.0000 0.0000 0.0000 Cl
3.0372 0.0000 0.0000 I
0.0000 3.0372 0.0000 I
3.0372 3.0372 1.7427 Zr
0.0000 0.0000 1.7427 N
```



Record 3
ErMgInGa: relaxed, GGA-PBE.

Summary:
**Formation energy**: -0.3011 eV per atom
**SG**: No. 216
**Energy relative to the lowest polymorph listed for this composition**: 0.0953 eV per atom

POSCAR file:
```
ErMgInGa
1.0
5.0457 0.0000 0.0000
2.5229 4.3697 0.0000
2.5229 1.4566 4.1198
Er Ga Mg In
1 1 1 1
Cartesian
0.0000 0.0000 0.0000 Er
2.5229 1.4566 1.0299 Ga
5.0457 2.9131 2.0599 Mg
7.5686 4.3697 3.0898 In
```



Record 4
Cs2HoGaO4: relaxed, GGA-PBE.

Summary:
**Energy relative to the elements, uncorrected**: -1.99 eV per atom
**SG**: No. 70

POSCAR file:
```
Cs2HoGaO4
1.0
5.5377 0.0000 0.0000
2.7688 6.4740 0.0000
2.7688 0.0000 11.6937
O Ga Cs Ho
8 2 4 2
Cartesian
3.9902 1.0998 0.9674 O
8.4696 4.3369 6.8143 O
4.3163 5.3742 0.9674 O
4.3163 1.0998 10.7263 O
5.3746 2.1372 6.8143 O
5.3746 4.3369 4.8794 O
2.9319 2.1372 4.8794 O
9.5279 5.3742 10.7263 O
2.7688 0.0000 0.0000 Ga
4.1533 3.2370 5.8468 Ga
6.9221 3.2370 1.6604 Cs
2.7688 0.0000 7.5073 Cs
5.5377 0.0000 4.1864 Cs
6.9221 3.2370 10.0333 Cs
6.9221 3.2370 5.8468 Ho
0.0000 0.0000 0.0000 Ho
```



Number 1: uncorrected energy -30.76 eV for the cell shown. Number 2: uncorrected energy -16.12 eV for the cell shown. Number 3: uncorrected energy -13.13 eV for the cell shown. Number 4: uncorrected energy -90.09 eV for the cell shown.